[1]
This record from Alexandria describes CeCoGeH after structural relaxation. The functional is PBEsol.

```
CeCoGeH
1.0
3.9647 0.0000 0.0000
0.0000 3.9647 0.0000
0.0000 0.0000 7.1099
Ce Ge H Co
2 2 2 2
Cartesian
1.9823 0.0000 2.3096
0.0000 1.9823 4.8003
0.0000 1.9823 1.2713
1.9823 0.0000 5.8386
1.9823 1.9823 3.5550
0.0000 0.0000 3.5550
1.9823 1.9823 0.0000
0.0000 0.0000 0.0000
```

Summary:
Its crystal system is tetragonal. As for the total energy: -6.2831 eV/atom. As for the symmetry: P4/nmm. The value obtained for the total magnetization is 0.00 μB/atom.

[2]
This record from Alexandria describes Sr2CoSb after structural relaxation. The functional is PBEsol.

```
Sr2CoSb
1.0
4.2090 0.0000 0.0000
0.0000 5.1380 0.0000
0.0000 0.0000 5.1380
Co Sr Sb
1 2 1
Cartesian
2.1045 2.5690 2.5690
0.0000 2.5690 0.0000
0.0000 0.0000 2.5690
2.1045 0.0000 0.0000
```

Summary:
The calculation puts the formation energy from raw total energies at -0.0674 eV per atom. Its crystal system is tetragonal. As for the symmetry: P4/mmm. The value obtained for the total magnetization is 0.43 μB/atom.

[3]
This record from Alexandria describes MgV4O10 after structural relaxation. The functional is PBEsol.

```
MgV4O10
1.0
3.6062 0.0000 0.0000
-1.8031 5.0127 0.0000
0.0000 0.0000 11.1984
O V Mg
10 4 1
Cartesian
0.0000 0.4247 4.2447
1.8031 4.5000 1.5251
0.0000 3.0234 5.5992
1.8031 2.3390 0.0000
0.0000 2.4123 9.1340
0.0000 2.4123 2.0645
1.8031 4.5000 9.6733
1.8031 2.5783 7.4615
1.8031 2.5783 3.7370
0.0000 0.4247 6.9538
0.0000 2.0202 3.9125
0.0000 2.0202 7.2859
1.8031 2.9269 1.6702
1.8031 2.9269 9.5282
1.8031 3.9251 5.5992
```

Summary:
The calculation puts the formation energy from raw total energies at -2.3532 eV per atom. Its crystal system is orthorhombic. As for the symmetry: Amm2. The value obtained for the total magnetization is 0.13 μB/atom. The calculation puts the distance to the lowest polymorph of the same formula at 0 meV per atom.

[4]
This record from Alexandria describes BAuCl3 after structural relaxation. The functional is PBEsol.

```
BAuCl3
1.0
-4.0986 -0.8699 2.5769
-0.9216 -3.9406 -2.7961
2.5589 -2.8126 3.1205
Cl B Au
3 1 1
Cartesian
-2.0493 -0.4350 1.2885
1.2794 -1.4063 1.5602
-0.4608 -1.9703 -1.3981
-1.2307 -3.8116 1.4506
0.0000 0.0000 0.0000
```

Summary:
The calculation puts the formation energy from raw total energies at 0.8026 eV per atom. Its crystal system is cubic. As for the symmetry: Pm-3m. The value obtained for the total magnetization is 0.00 μB/atom. The calculation puts the distance to the lowest polymorph of the same formula at 368 meV per atom.

[5]
This record from Alexandria describes HgBr2 after structural relaxation. The functional is PBEsol.

```
HgBr2
1.0
-1.7300 0.5477 -3.6396
-1.8604 -2.7996 2.2893
-7.3720 8.8537 4.8362
Hg Br
2 4
Cartesian
-1.8157 -1.6500 0.2534
-5.4614 3.8258 0.8151
-6.3732 5.9134 -0.2421
-2.8015 -1.4586 2.5552
-8.2019 7.0114 2.7891
-4.5494 1.7389 1.8703
```

Summary:
The calculation puts the formation energy from raw total energies at -0.4212 eV per atom. Its crystal system is orthorhombic. As for the symmetry: Cmc2_1. The value obtained for the total magnetization is 0.00 μB/atom.

[6]
This record from Alexandria describes BN after structural relaxation. The functional is PBEsol.

```
BN
1.0
2.5056 0.0000 0.0000
1.2528 2.1700 0.0000
1.2528 0.7233 3.4367
B N
1 1
Cartesian
3.7585 2.1700 0.0037
1.2528 0.7233 0.0056
```

Summary:
The calculation puts the formation energy from raw total energies at -1.3689 eV per atom. Its crystal system is trigonal. As for the symmetry: R3m. The value obtained for the total magnetization is 0.00 μB/atom. The calculation puts the distance to the lowest polymorph of the same formula at 33 meV per atom.

- total magnetization of number 6 (BN)?
  0.00 μB/atom

- Number 6 is which compound?
  BN

- total magnetization of number 3 (MgV4O10)?
  0.13 μB/atom

- What is the total magnetization in the sixth record?
  0.00 μB/atom